Entry from Alexandria via LeMat-Bulk: crystalline BaCr3Ir at its relaxed geometry (GGA-PBE).

```
BaCr3Ir
1.0
4.584 0.000 0.000
0.000 4.584 0.000
0.000 0.000 4.584
Ba Cr Ir
1 3 1
direct
0.000 0.000 0.000
0.000 0.000 0.500
0.000 0.500 0.000
0.500 0.000 0.000
0.500 0.500 0.500
```

Output
Size of the total moment (μB/f.u.): 0.002
Polymorph energy (0 for the lowest one) (kJ per mole of atoms): 219.2
V (Å³/atom): 19.27
Electronic total energy (eV per cell): -24.35
Formation enthalpy at 0 K (eV per atom): 3.0614
SG: Pm-3m